This record from the Alexandria database describes a relaxed structure of Pm8SbRu2. The functional is PBE.

```
Pm8SbRu2
1.0
4.4065 -6.7015 0.0000
4.4065 6.7015 0.0000
-1.4019 0.0000 5.5216
Pm Sb Ru
8 1 2
Direct
0.0714 0.3280 0.5749 Pm
0.2460 0.7540 0.0000 Pm
0.3280 0.0714 0.5749 Pm
0.3895 0.3895 0.2019 Pm
0.6105 0.6105 0.7981 Pm
0.6720 0.9286 0.4251 Pm
0.7540 0.2460 0.0000 Pm
0.9286 0.6720 0.4251 Pm
0.0000 0.0000 0.0000 Sb
0.3035 0.6965 0.5000 Ru
0.6965 0.3035 0.5000 Ru
```

Output
Uncorrected formation energy in eV per atom: -0.26
Symmetry: C2/m (12)
Total moment in μB per formula unit: 0.000
Density of states at the Fermi level in states/eV/cell: 11.6
Crystal system: monoclinic